DFT (PBE with a Hubbard U) results for FePbF2 after structural relaxation.

The offset from the most stable computed form comes out at 0.021 eV per atom. Its total energy is -74.77 eV for the cell shown.

The structure belongs to space group I-42d (No. 122); the cell edges are 5.720, 5.720 and 10.341 Å and the angles 90.00°, 90.00° and 90.00°. Symmetry generates all atoms from Fe at (0.000, 0.000, 0.000), Pb at (0.000, 0.000, 0.500) and F at (0.080, 0.250, 0.125).